No. 1
This record from the Alexandria database describes a relaxed La2AlCu3Ge4 crystal. The functional is PBE.

Lattice parameters (Å, degrees): 4.263 4.263 10.410 90.00 90.00 90.00
Atoms (fractional coordinates):
La (0.000, 0.500, 0.244)
La (0.500, 0.000, 0.756)
Al (0.000, 0.000, 0.500)
Cu (0.000, 0.500, 0.874)
Cu (0.500, 0.000, 0.126)
Cu (0.500, 0.500, 0.500)
Ge (0.000, 0.000, 0.000)
Ge (0.000, 0.500, 0.641)
Ge (0.500, 0.000, 0.359)
Ge (0.500, 0.500, 0.000)

Summary:
Energy relative to the elements ... -0.54 eV/atom

No. 2
This record from the Alexandria database describes a relaxed Li2AlCu7Ge2 crystal. The functional is PBE.

Lattice parameters (Å, degrees): 3.696 3.696 11.736 90.08 90.08 90.17
Atoms (fractional coordinates):
Li (0.001, 0.001, 0.318)
Li (0.999, 0.999, 0.682)
Al (0.500, 0.500, 0.000)
Cu (0.000, 0.000, 0.000)
Cu (0.000, 0.499, 0.843)
Cu (0.000, 0.501, 0.157)
Cu (0.265, 0.265, 0.500)
Cu (0.499, 0.000, 0.843)
Cu (0.501, 0.000, 0.157)
Cu (0.735, 0.735, 0.500)
Ge (0.499, 0.499, 0.690)
Ge (0.501, 0.501, 0.310)

Summary:
Energy relative to the elements ... -0.06 eV/atom

No. 3
This record from the Alexandria database describes a relaxed NaAlCuGe2 crystal. The functional is PBE.

Lattice parameters (Å, degrees): 6.175 6.175 6.175 140.70 140.70 56.80
Atoms (fractional coordinates):
Na (0.000, 0.000, 0.000)
Al (0.750, 0.250, 0.500)
Cu (0.250, 0.750, 0.500)
Ge (0.385, 0.385, 0.000)
Ge (0.615, 0.615, 0.000)

Summary:
Energy relative to the elements ... -0.11 eV/atom

No. 4
This record from the Alexandria database describes a relaxed Nd2AlCu3Ge4 crystal. The functional is PBE.

Lattice parameters (Å, degrees): 4.189 4.189 10.467 90.00 90.00 90.00
Atoms (fractional coordinates):
Nd (0.000, 0.500, 0.244)
Nd (0.500, 0.000, 0.756)
Al (0.000, 0.000, 0.500)
Cu (0.000, 0.500, 0.871)
Cu (0.500, 0.000, 0.129)
Cu (0.500, 0.500, 0.500)
Ge (0.000, 0.000, 0.000)
Ge (0.000, 0.500, 0.643)
Ge (0.500, 0.000, 0.357)
Ge (0.500, 0.500, 0.000)

Summary:
Energy relative to the elements ... -0.50 eV/atom